# PuZnGa2O8, optimized geometry, DFT GGA-PBE
data_PuZnGa2O8
_cell_length_a 4.797
_cell_length_b 4.797
_cell_length_c 6.117
_cell_angle_alpha 90.00
_cell_angle_beta 90.00
_cell_angle_gamma 92.09
_space_group_name_H-M_alt 'P 1'
_space_group_IT_number 1
loop_
_space_group_symop_operation_xyz
'x,y,z'
loop_
_atom_site_label
_atom_site_fract_x
_atom_site_fract_y
_atom_site_fract_z
_atom_site_occupancy
Pu1 0.000 0.000 0.000 1
Zn1 0.000 0.000 0.500 1
Ga1 0.500 0.500 0.260 1
Ga2 0.500 0.500 0.740 1
O1 0.196 0.804 0.232 1
O2 0.196 0.804 0.768 1
O3 0.308 0.308 0.500 1
O4 0.313 0.313 0.000 1
O5 0.687 0.687 0.000 1
O6 0.692 0.692 0.500 1
O7 0.804 0.196 0.232 1
O8 0.804 0.196 0.768 1
# Uncorrected energy = -6.7892 eV/atom
# E_form (uncorrected) = -1.679 eV/atom



# Rb2GaO2, optimized geometry, DFT GGA-PBE
data_Rb2GaO2
_cell_length_a 7.682
_cell_length_b 7.682
_cell_length_c 7.682
_cell_angle_alpha 98.53
_cell_angle_beta 95.81
_cell_angle_gamma 138.63
_space_group_name_H-M_alt 'P 1'
_space_group_IT_number 1
loop_
_space_group_symop_operation_xyz
'x,y,z'
loop_
_atom_site_label
_atom_site_fract_x
_atom_site_fract_y
_atom_site_fract_z
_atom_site_occupancy
Rb1 0.143 0.188 0.331 1
Rb2 0.357 0.688 0.044 1
Rb3 0.643 0.312 0.956 1
Rb4 0.857 0.812 0.669 1
Ga1 0.250 0.750 0.500 1
Ga2 0.750 0.250 0.500 1
O1 0.083 0.606 0.689 1
O2 0.417 0.106 0.523 1
O3 0.583 0.894 0.477 1
O4 0.917 0.394 0.311 1
# Uncorrected energy = -4.2907 eV/atom
# E_form (uncorrected) = -1.315 eV/atom



# RbGa3O, optimized geometry, DFT GGA-PBE
data_RbGa3O
_cell_length_a 6.149
_cell_length_b 6.149
_cell_length_c 6.149
_cell_angle_alpha 90.00
_cell_angle_beta 90.00
_cell_angle_gamma 90.00
_space_group_name_H-M_alt 'P 1'
_space_group_IT_number 1
loop_
_space_group_symop_operation_xyz
'x,y,z'
loop_
_atom_site_label
_atom_site_fract_x
_atom_site_fract_y
_atom_site_fract_z
_atom_site_occupancy
Rb1 0.000 0.000 0.000 1
Ga1 0.000 0.000 0.500 1
Ga2 0.000 0.500 0.000 1
Ga3 0.500 0.000 0.000 1
O1 0.500 0.500 0.500 1
# Uncorrected energy = -1.5149 eV/atom
# Excess energy over the best structure of this formula in the dataset = 1498 meV/atom
# E_form (uncorrected) = 1.486 eV/atom



# RbGaO, optimized geometry, DFT GGA-PBE
data_RbGaO
_cell_length_a 7.365
_cell_length_b 7.365
_cell_length_c 7.365
_cell_angle_alpha 140.33
_cell_angle_beta 129.10
_cell_angle_gamma 66.39
_space_group_name_H-M_alt 'P 1'
_space_group_IT_number 1
loop_
_space_group_symop_operation_xyz
'x,y,z'
loop_
_atom_site_label
_atom_site_fract_x
_atom_site_fract_y
_atom_site_fract_z
_atom_site_occupancy
Rb1 0.170 0.170 0.000 1
Rb2 0.830 0.830 0.000 1
Ga1 0.500 0.232 0.732 1
Ga2 0.500 0.768 0.268 1
O1 0.391 0.391 0.000 1
O2 0.609 0.609 0.000 1
# Uncorrected energy = -3.8687 eV/atom
# E_form (uncorrected) = -0.884 eV/atom



# RbGa3O, optimized geometry, DFT GGA-PBE
data_RbGa3O
_cell_length_a 4.934
_cell_length_b 4.934
_cell_length_c 4.934
_cell_angle_alpha 90.00
_cell_angle_beta 90.00
_cell_angle_gamma 90.00
_space_group_name_H-M_alt 'P 1'
_space_group_IT_number 1
loop_
_space_group_symop_operation_xyz
'x,y,z'
loop_
_atom_site_label
_atom_site_fract_x
_atom_site_fract_y
_atom_site_fract_z
_atom_site_occupancy
Rb1 0.000 0.000 0.000 1
Ga1 0.000 0.500 0.500 1
Ga2 0.500 0.000 0.500 1
Ga3 0.500 0.500 0.000 1
O1 0.500 0.500 0.500 1
# Uncorrected energy = -3.0132 eV/atom
# Excess energy over the best structure of this formula in the dataset = 0 meV/atom
# E_form (uncorrected) = -0.012 eV/atom



# Rb2GaO3, optimized geometry, DFT GGA-PBE
data_Rb2GaO3
_cell_length_a 6.981
_cell_length_b 6.981
_cell_length_c 5.796
_cell_angle_alpha 90.00
_cell_angle_beta 90.00
_cell_angle_gamma 66.04
_space_group_name_H-M_alt 'P 1'
_space_group_IT_number 1
loop_
_space_group_symop_operation_xyz
'x,y,z'
loop_
_atom_site_label
_atom_site_fract_x
_atom_site_fract_y
_atom_site_fract_z
_atom_site_occupancy
Rb1 0.010 0.677 0.500 1
Rb2 0.323 0.990 0.500 1
Rb3 0.677 0.010 0.000 1
Rb4 0.990 0.323 0.000 1
Ga1 0.371 0.629 0.039 1
Ga2 0.629 0.371 0.539 1
O1 0.090 0.679 0.988 1
O2 0.321 0.910 0.988 1
O3 0.430 0.570 0.354 1
O4 0.570 0.430 0.854 1
O5 0.679 0.090 0.488 1
O6 0.910 0.321 0.488 1
# Uncorrected energy = -4.7205 eV/atom
# E_form (uncorrected) = -1.414 eV/atom



> Look up the E_form (uncorrected) of the second one.

-1.315 eV/atom